(1)
VASP calculation (PBE-GGA) on a geometry-optimized RbInTe structure.

Results
ρ = 4.4 g/cm³
Formation energy (no corrections) = -0.67 eV per atom
Calculated volume = 41.09 Å³ per atom
Size of the total moment = 0.000 Bohr magnetons per cell

```
data_RbInTe
_chemical_formula_sum 'Rb2 In2 Te2'
_cell_length_a 4.525
_cell_length_b 5.608
_cell_length_c 9.970
_cell_angle_alpha 90.00
_cell_angle_beta 103.01
_cell_angle_gamma 90.00
_space_group_name_H-M_alt 'P 1'
_space_group_IT_number 1
loop_
_space_group_symop_operation_xyz
'x,y,z'
loop_
_atom_site_label
_atom_site_fract_x
_atom_site_fract_y
_atom_site_fract_z
Te1 0.130 0.750 0.262
Te2 0.870 0.250 0.738
Rb1 0.329 0.750 0.654
Rb2 0.671 0.250 0.346
In1 0.529 0.750 0.059
In2 0.471 0.250 0.941
```

(2)
VASP calculation (PBE-GGA) on a geometry-optimized LaCeZnCd structure.

Results
Uncorrected energy = -3.46 eV per atom
ρ = 6.9 g/cm³
Calculated volume = 27.50 Å³ per atom
Size of the total moment = 1.668 Bohr magnetons per cell

```
data_LaCeZnCd
_chemical_formula_sum 'La1 Ce1 Zn1 Cd1'
_cell_length_a 5.378
_cell_length_b 5.378
_cell_length_c 5.378
_cell_angle_alpha 60.00
_cell_angle_beta 60.00
_cell_angle_gamma 60.00
_space_group_name_H-M_alt 'P 1'
_space_group_IT_number 1
loop_
_space_group_symop_operation_xyz
'x,y,z'
loop_
_atom_site_label
_atom_site_fract_x
_atom_site_fract_y
_atom_site_fract_z
Zn1 0.250 0.250 0.250
La1 0.000 0.000 0.000
Cd1 0.750 0.750 0.750
Ce1 0.500 0.500 0.500
```

(3)
VASP calculation (PBE-GGA) on a geometry-optimized MnAgRu structure.

Results
Uncorrected energy = -6.71 eV per atom
ρ = 9.5 g/cm³
Calculated volume = 15.39 Å³ per atom
Size of the total moment = 3.418 Bohr magnetons per cell

```
data_MnAgRu
_chemical_formula_sum 'Mn1 Ag1 Ru1'
_cell_length_a 7.048
_cell_length_b 6.846
_cell_length_c 2.732
_cell_angle_alpha 82.84
_cell_angle_beta 74.54
_cell_angle_gamma 22.62
_space_group_name_H-M_alt 'P 1'
_space_group_IT_number 1
loop_
_space_group_symop_operation_xyz
'x,y,z'
loop_
_atom_site_label
_atom_site_fract_x
_atom_site_fract_y
_atom_site_fract_z
Ru1 0.680 0.680 0.320
Ag1 0.997 0.997 0.003
Mn1 0.324 0.324 0.676
```

(4)
VASP calculation (PBE-GGA) on a geometry-optimized CrGeHRu2 structure.

Results
Uncorrected energy = -7.24 eV per atom
ρ = 9.4 g/cm³
Calculated volume = 11.56 Å³ per atom
Size of the total moment = 2.938 Bohr magnetons per cell

```
data_CrGeHRu2
_chemical_formula_sum 'Cr1 Ge1 H1 Ru2'
_cell_length_a 4.018
_cell_length_b 4.018
_cell_length_c 3.580
_cell_angle_alpha 90.00
_cell_angle_beta 90.00
_cell_angle_gamma 90.00
_space_group_name_H-M_alt 'P 1'
_space_group_IT_number 1
loop_
_space_group_symop_operation_xyz
'x,y,z'
loop_
_atom_site_label
_atom_site_fract_x
_atom_site_fract_y
_atom_site_fract_z
Cr1 0.000 0.000 0.500
Ru1 0.500 0.000 0.000
Ru2 0.000 0.500 0.000
Ge1 0.500 0.500 0.500
H1 0.000 0.000 0.000
```

(5)
VASP calculation (PBE-GGA) on a geometry-optimized MoIrOsRu structure.

Results
Uncorrected energy = -10.11 eV per atom
ρ = 16.5 g/cm³
Calculated volume = 14.60 Å³ per atom
Size of the total moment = 0.000 Bohr magnetons per cell

```
data_MoIrOsRu
_chemical_formula_sum 'Mo1 Ir1 Os1 Ru1'
_cell_length_a 3.888
_cell_length_b 3.888
_cell_length_c 4.743
_cell_angle_alpha 114.25
_cell_angle_beta 114.20
_cell_angle_gamma 90.00
_space_group_name_H-M_alt 'P 1'
_space_group_IT_number 1
loop_
_space_group_symop_operation_xyz
'x,y,z'
loop_
_atom_site_label
_atom_site_fract_x
_atom_site_fract_y
_atom_site_fract_z
Mo1 0.620 0.620 0.240
Ru1 0.870 0.369 0.739
Ir1 0.120 0.120 0.240
Os1 0.370 0.870 0.740
```

(6)
VASP calculation (PBE-GGA) on a geometry-optimized TbY3Ga2 structure.

Results
Uncorrected energy = -5.24 eV per atom
ρ = 5.2 g/cm³
Calculated volume = 29.87 Å³ per atom
Size of the total moment = 0.000 Bohr magnetons per cell

```
data_TbY3Ga2
_chemical_formula_sum 'Tb2 Y6 Ga4'
_cell_length_a 6.935
_cell_length_b 7.226
_cell_length_c 8.732
_cell_angle_alpha 114.44
_cell_angle_beta 113.40
_cell_angle_gamma 90.00
_space_group_name_H-M_alt 'P 1'
_space_group_IT_number 1
loop_
_space_group_symop_operation_xyz
'x,y,z'
loop_
_atom_site_label
_atom_site_fract_x
_atom_site_fract_y
_atom_site_fract_z
Y1 0.225 0.975 0.449
Y2 0.775 0.525 0.551
Y3 0.775 0.025 0.551
Y4 0.500 0.250 0.000
Y5 0.225 0.475 0.449
Y6 0.500 0.750 0.000
Ga1 0.436 0.637 0.274
Ga2 0.837 0.137 0.274
Ga3 0.163 0.863 0.726
Ga4 0.564 0.363 0.726
Tb1 0.000 0.500 0.000
Tb2 0.000 0.000 0.000
```